No. 1
Cs3Cu2HgI6: relaxed, PBE-GGA.

a b c (Å): 8.8372 8.8372 9.9268
angles (deg): 90.00 90.00 120.00
Closest atoms and distances in Å follow each position.
Atoms (fractional coordinates):
Cs  0.0000  0.0000  0.0000  6 I 3.87
Cs  0.3333  0.6667  0.6383  1 Cu 3.68
Cs  0.6667  0.3333  0.3617  1 Cu 3.68
Cu  0.3333  0.6667  0.2676  3 I 2.52
Cu  0.6667  0.3333  0.7324  3 I 2.52
Hg  0.0000  0.0000  0.5000  6 I 3.33
I  0.1694  0.3387  0.2889  1 Cu 2.52
I  0.1694  0.8306  0.2889  1 Cu 2.52
I  0.3387  0.1694  0.7111  1 Cu 2.52
I  0.6613  0.8306  0.2889  1 Cu 2.52
I  0.8306  0.1694  0.7111  1 Cu 2.52
I  0.8306  0.6613  0.7111  1 Cu 2.52

Summary:
raw formation energy	-0.785	eV per atom
space-group type	No. 164

No. 2
CsCu2HgI6: relaxed, PBE-GGA.

a b c (Å): 11.4578 11.4578 7.2414
angles (deg): 92.85 92.85 105.07
Closest atoms and distances in Å follow each position.
Atoms (fractional coordinates):
Cs  0.1058  0.8942  0.7500  8 I 3.93-4.32
Cs  0.8942  0.1058  0.2500  8 I 3.93-4.32
Cu  0.2374  0.3848  0.7793  4 I 2.59-2.63
Cu  0.3848  0.2374  0.2793  4 I 2.59-2.63
Cu  0.6152  0.7626  0.7207  4 I 2.59-2.63
Cu  0.7626  0.6152  0.2207  4 I 2.59-2.63
Hg  0.3608  0.6392  0.2500  4 I 2.80-3.01
Hg  0.6392  0.3608  0.7500  4 I 2.80-3.01
I  0.0332  0.2192  0.7548  1 Cu 2.59
I  0.1941  0.5747  0.9415  1 Cu 2.59, 1 Hg 2.80
I  0.2192  0.0332  0.2548  1 Cu 2.59
I  0.2912  0.4023  0.4310  2 Cu 2.63
I  0.4023  0.2912  0.9310  2 Cu 2.63
I  0.4253  0.8059  0.5585  1 Cu 2.59, 1 Hg 2.80
I  0.5747  0.1941  0.4415  1 Cu 2.59, 1 Hg 2.80
I  0.5977  0.7088  0.0690  2 Cu 2.63
I  0.7088  0.5977  0.5690  2 Cu 2.63
I  0.7808  0.9668  0.7452  1 Cu 2.59
I  0.8059  0.4253  0.0585  1 Cu 2.59, 1 Hg 2.80
I  0.9668  0.7808  0.2452  1 Cu 2.59

Summary:
raw formation energy	-0.436	eV per atom
space-group type	No. 15

No. 3
Cs3Cu2HgI8: relaxed, PBE-GGA.

a b c (Å): 8.3286 8.3286 10.7096
angles (deg): 90.00 90.00 120.00
Closest atoms and distances in Å follow each position.
Atoms (fractional coordinates):
Cs  0.0000  0.0000  0.0000  6 I 4.17
Cs  0.3333  0.6667  0.6286  10 I 3.82-4.20
Cs  0.6667  0.3333  0.3714  10 I 3.82-4.20
Cu  0.3333  0.6667  0.2184  4 I 2.50-2.64
Cu  0.6667  0.3333  0.7816  4 I 2.50-2.64
Hg  0.0000  0.0000  0.5000  6 I 3.09
I  0.1664  0.3329  0.3188  1 Cu 2.64
I  0.1664  0.8336  0.3188  1 Cu 2.64
I  0.3329  0.1664  0.6812  1 Cu 2.64
I  0.3333  0.6667  0.9853  1 Cu 2.50
I  0.6667  0.3333  0.0147  1 Cu 2.50
I  0.6671  0.8336  0.3188  1 Cu 2.64
I  0.8336  0.1664  0.6812  1 Cu 2.64
I  0.8336  0.6671  0.6812  1 Cu 2.64

Summary:
raw formation energy	-0.746	eV per atom
space-group type	No. 164

No. 4
CsIn2CuHg: relaxed, PBE-GGA.

a b c (Å): 5.1869 5.1869 5.4196
angles (deg): 90.00 90.00 90.00
Closest atoms and distances in Å follow each position.
Atoms (fractional coordinates):
Cs  0.0000  0.0000  0.0000  4 Hg 3.67, 8 In 3.75
In  0.0000  0.5000  0.5000  2 Cu 2.59
In  0.5000  0.0000  0.5000  2 Cu 2.59
Cu  0.5000  0.5000  0.5000  4 In 2.59, 2 Hg 2.71
Hg  0.5000  0.5000  0.0000  2 Cu 2.71

Summary:
space-group type	No. 123

No. 5
CsK2CuHg: relaxed, PBE-GGA.

a b c (Å): 6.5077 6.5077 5.3615
angles (deg): 90.00 90.00 90.00
Closest atoms and distances in Å follow each position.
Atoms (fractional coordinates):
Cs  0.0000  0.0000  0.0000  8 K 4.22, 4 Hg 4.60
K  0.0000  0.5000  0.5000  2 Cu 3.25
K  0.5000  0.0000  0.5000  2 Cu 3.25
Cu  0.5000  0.5000  0.5000  2 Hg 2.68
Hg  0.5000  0.5000  0.0000  2 Cu 2.68

Summary:
space-group type	No. 123

No. 6
CsLi2CuHg: relaxed, PBE-GGA.

a b c (Å): 5.3599 5.3599 5.1794
angles (deg): 90.00 90.00 90.00
Closest atoms and distances in Å follow each position.
Atoms (fractional coordinates):
Cs  0.0000  0.0000  0.0000  8 Li 3.73, 4 Hg 3.79
Li  0.0000  0.5000  0.5000  2 Cu 2.68
Li  0.5000  0.0000  0.5000  2 Cu 2.68
Cu  0.5000  0.5000  0.5000  2 Hg 2.59, 4 Li 2.68
Hg  0.5000  0.5000  0.0000  2 Cu 2.59

Summary:
space-group type	No. 123

No. 7
Cs2CuHgN: relaxed, PBE-GGA.

a b c (Å): 6.6910 6.6910 3.6050
angles (deg): 90.00 90.00 90.00
Closest atoms and distances in Å follow each position.
Atoms (fractional coordinates):
Cs  0.0000  0.5000  0.0000  2 N 3.35, 2 Cs 3.60
Cs  0.5000  0.0000  0.0000  2 N 3.35, 2 Cs 3.60
Cu  0.0000  0.0000  0.5000  2 N 1.80
Hg  0.5000  0.5000  0.5000  2 Hg 3.60, 8 Cs 3.80
N  0.0000  0.0000  0.0000  2 Cu 1.80

Summary:
raw formation energy	0.124	eV per atom
space-group type	No. 123

No. 8
CsNa2CuHg: relaxed, PBE-GGA.

a b c (Å): 5.7836 5.7836 5.2498
angles (deg): 90.00 90.00 90.00
Closest atoms and distances in Å follow each position.
Atoms (fractional coordinates):
Cs  0.0000  0.0000  0.0000  8 Na 3.91, 4 Hg 4.09
Na  0.0000  0.5000  0.5000  2 Cu 2.89
Na  0.5000  0.0000  0.5000  2 Cu 2.89
Cu  0.5000  0.5000  0.5000  2 Hg 2.62, 4 Na 2.89
Hg  0.5000  0.5000  0.0000  2 Cu 2.62

Summary:
space-group type	No. 123

No. 9
CsCuHgO2: relaxed, PBE-GGA.

a b c (Å): 7.5202 7.5202 4.6523
angles (deg): 90.00 90.00 125.68
Closest atoms and distances in Å follow each position.
Atoms (fractional coordinates):
Cs  0.2500  0.7500  0.7556  4 O 3.02-3.17
Cs  0.7500  0.2500  0.2444  4 O 3.02-3.17
Cu  0.0000  0.0000  0.0000  2 O 1.83
Cu  0.5000  0.5000  0.0000  2 O 1.83
Hg  0.2500  0.2500  0.5000  4 O 2.39
Hg  0.7500  0.7500  0.5000  4 O 2.39
O  0.0973  0.9027  0.2770  1 Cu 1.83
O  0.4027  0.5973  0.2770  1 Cu 1.83
O  0.5973  0.4027  0.7230  1 Cu 1.83
O  0.9027  0.0973  0.7230  1 Cu 1.83

Summary:
raw formation energy	-0.682	eV per atom
space-group type	No. 67

No. 10
Cs2CuHgO: relaxed, PBE-GGA.

a b c (Å): 6.8538 6.8538 3.6450
angles (deg): 90.00 90.00 90.00
Closest atoms and distances in Å follow each position.
Atoms (fractional coordinates):
Cs  0.0000  0.5000  0.0000  2 Cu 3.43, 2 Cs 3.65
Cs  0.5000  0.0000  0.0000  2 Cu 3.43, 2 Cs 3.65
Cu  0.0000  0.0000  0.0000  2 O 1.82
Hg  0.5000  0.5000  0.5000  2 Hg 3.65, 8 Cs 3.88
O  0.0000  0.0000  0.5000  2 Cu 1.82

Summary:
distance to the lowest polymorph of the same formula	8.4	kJ per mole of atoms
raw formation energy	-0.425	eV per atom
space-group type	No. 123

No. 11
Cs2CuHgO: relaxed, PBE-GGA.

a b c (Å): 6.5734 6.5734 3.6987
angles (deg): 90.00 90.00 90.00
Closest atoms and distances in Å follow each position.
Atoms (fractional coordinates):
Cs  0.0000  0.5000  0.0000  2 O 3.29
Cs  0.5000  0.0000  0.0000  2 O 3.29
Cu  0.0000  0.0000  0.5000  2 O 1.85
Hg  0.5000  0.5000  0.5000  2 Hg 3.70, 8 Cs 3.77
O  0.0000  0.0000  0.0000  2 Cu 1.85

Summary:
distance to the lowest polymorph of the same formula	0.0	kJ per mole of atoms
raw formation energy	-0.512	eV per atom
space-group type	No. 123

No. 12
Cs2CuHgP: relaxed, PBE-GGA.

a b c (Å): 6.8396 6.8396 4.2928
angles (deg): 90.00 90.00 90.00
Closest atoms and distances in Å follow each position.
Atoms (fractional coordinates):
Cs  0.0000  0.5000  0.0000  2 Cu 3.42
Cs  0.5000  0.0000  0.0000  2 Cu 3.42
Cu  0.0000  0.0000  0.0000  2 P 2.15
Hg  0.5000  0.5000  0.5000  8 Cs 4.04, 2 Hg 4.29
P  0.0000  0.0000  0.5000  2 Cu 2.15

Summary:
distance to the lowest polymorph of the same formula	0.0	kJ per mole of atoms
space-group type	No. 123

No. 13
CsCuHg2Pt: relaxed, PBE-GGA.

a b c (Å): 5.4212 5.4212 5.0499
angles (deg): 90.00 90.00 90.00
Closest atoms and distances in Å follow each position.
Atoms (fractional coordinates):
Cs  0.0000  0.0000  0.0000  8 Hg 3.70, 4 Cu 3.83
Cu  0.5000  0.5000  0.0000  2 Pt 2.52
Hg  0.0000  0.5000  0.5000  2 Pt 2.71
Hg  0.5000  0.0000  0.5000  2 Pt 2.71
Pt  0.5000  0.5000  0.5000  2 Cu 2.52, 4 Hg 2.71

Summary:
space-group type	No. 123

No. 14
CsCuHgS2: relaxed, PBE-GGA.

a b c (Å): 7.4959 5.6540 7.3786
angles (deg): 90.00 106.74 90.00
Closest atoms and distances in Å follow each position.
Atoms (fractional coordinates):
Cs  0.0000  0.2311  0.2500  6 S 3.58-3.69, 2 Cu 3.90
Cs  0.0000  0.7689  0.7500  6 S 3.58-3.69, 2 Cu 3.90
Cu  0.5000  0.0000  0.0000  2 S 2.14
Cu  0.5000  0.0000  0.5000  2 S 2.14
Hg  0.5000  0.4570  0.7500  4 S 2.60-2.73
Hg  0.5000  0.5430  0.2500  4 S 2.60-2.73
S  0.2980  0.2792  0.9504  1 Cu 2.14
S  0.2980  0.7208  0.4504  1 Cu 2.14
S  0.7020  0.2792  0.5496  1 Cu 2.14
S  0.7020  0.7208  0.0496  1 Cu 2.14

Summary:
raw formation energy	-0.533	eV per atom
space-group type	No. 13

No. 15
CsCuHg2S: relaxed, PBE-GGA.

a b c (Å): 5.6449 5.6449 4.6284
angles (deg): 90.00 90.00 90.00
Closest atoms and distances in Å follow each position.
Atoms (fractional coordinates):
Cs  0.0000  0.0000  0.0000  8 Hg 3.65, 4 S 3.99
Cu  0.5000  0.5000  0.5000  2 S 2.31
Hg  0.0000  0.5000  0.5000  2 Cu 2.82
Hg  0.5000  0.0000  0.5000  2 Cu 2.82
S  0.5000  0.5000  0.0000  2 Cu 2.31

Summary:
raw formation energy	-0.252	eV per atom
space-group type	No. 123

No. 16
Cs4CuHg2Sb2: relaxed, PBE-GGA.

a b c (Å): 8.1506 8.1506 6.5617
angles (deg): 93.07 93.07 73.07
Closest atoms and distances in Å follow each position.
Atoms (fractional coordinates):
Cs  0.1324  0.6373  0.7011  1 Cu 3.42
Cs  0.3627  0.8676  0.2989  1 Cu 3.42
Cs  0.6373  0.1324  0.7011  1 Cu 3.42
Cs  0.8676  0.3627  0.2989  1 Cu 3.42
Cu  0.5000  0.5000  0.0000  2 Sb 2.48
Hg  0.1646  0.1646  0.8464  1 Sb 3.18
Hg  0.8354  0.8354  0.1536  1 Sb 3.18
Sb  0.3449  0.3449  0.1962  1 Cu 2.48
Sb  0.6551  0.6551  0.8038  1 Cu 2.48

Summary:
raw formation energy	-0.259	eV per atom
space-group type	No. 12

No. 17
CsCuHg2Sb: relaxed, PBE-GGA.

a b c (Å): 5.5378 5.5378 5.1844
angles (deg): 90.00 90.00 90.00
Closest atoms and distances in Å follow each position.
Atoms (fractional coordinates):
Cs  0.0000  0.0000  0.0000  8 Hg 3.79, 4 Sb 3.92
Cu  0.5000  0.5000  0.5000  2 Sb 2.59, 4 Hg 2.77
Hg  0.0000  0.5000  0.5000  2 Cu 2.77
Hg  0.5000  0.0000  0.5000  2 Cu 2.77
Sb  0.5000  0.5000  0.0000  2 Cu 2.59

Summary:
raw formation energy	-0.024	eV per atom
space-group type	No. 123

No. 18
CsCu2HgSe2: relaxed, PBE-GGA.

a b c (Å): 7.3595 5.5603 9.3649
angles (deg): 90.00 107.90 90.00
Closest atoms and distances in Å follow each position.
Atoms (fractional coordinates):
Cs  0.1858  0.2500  0.3541  5 Se 3.54-3.87, 2 Cu 3.71
Cs  0.8142  0.7500  0.6459  5 Se 3.54-3.87, 2 Cu 3.71
Cu  0.2962  0.0159  0.8094  2 Se 2.29-2.32
Cu  0.2962  0.4841  0.8094  2 Se 2.29-2.32
Cu  0.7038  0.5159  0.1906  2 Se 2.29-2.32
Cu  0.7038  0.9841  0.1906  2 Se 2.29-2.32
Hg  0.3522  0.7500  0.0743  4 Cu 2.80-2.81
Hg  0.6478  0.2500  0.9257  4 Cu 2.80-2.81
Se  0.1260  0.2500  0.9288  2 Cu 2.32
Se  0.3286  0.7500  0.6325  2 Cu 2.29
Se  0.6714  0.2500  0.3675  2 Cu 2.29
Se  0.8740  0.7500  0.0712  2 Cu 2.32

Summary:
raw formation energy	-0.375	eV per atom
space-group type	No. 11

No. 19
CsCuHgSe: relaxed, PBE-GGA.

a b c (Å): 4.3363 4.3363 13.4540
angles (deg): 90.00 90.00 90.00
Closest atoms and distances in Å follow each position.
Atoms (fractional coordinates):
Cs  0.2500  0.2500  0.2329  4 Se 3.56, 4 Cu 3.81
Cs  0.7500  0.7500  0.7671  4 Se 3.56, 4 Cu 3.81
Cu  0.2500  0.7500  0.0000  4 Se 2.54
Cu  0.7500  0.2500  0.0000  4 Se 2.54
Hg  0.2500  0.7500  0.5000  4 Hg 3.07
Hg  0.7500  0.2500  0.5000  4 Hg 3.07
Se  0.2500  0.2500  0.9015  4 Cu 2.54
Se  0.7500  0.7500  0.0985  4 Cu 2.54

Summary:
raw formation energy	-0.453	eV per atom
space-group type	No. 129

No. 20
CsCuHg2Se: relaxed, PBE-GGA.

a b c (Å): 5.4998 5.4998 5.0115
angles (deg): 90.00 90.00 90.00
Closest atoms and distances in Å follow each position.
Atoms (fractional coordinates):
Cs  0.0000  0.0000  0.0000  8 Hg 3.72, 4 Se 3.89
Cu  0.5000  0.5000  0.5000  2 Se 2.51, 4 Hg 2.75
Hg  0.0000  0.5000  0.5000  2 Cu 2.75
Hg  0.5000  0.0000  0.5000  2 Cu 2.75
Se  0.5000  0.5000  0.0000  2 Cu 2.51

Summary:
raw formation energy	-0.290	eV per atom
space-group type	No. 123

No. 21
CsCuSnHg2: relaxed, PBE-GGA.

a b c (Å): 6.0514 6.0514 5.0261
angles (deg): 90.00 90.00 90.00
Closest atoms and distances in Å follow each position.
Atoms (fractional coordinates):
Cs  0.0000  0.0000  0.0000  8 Hg 3.93, 4 Cu 4.28
Cu  0.5000  0.5000  0.0000  2 Sn 2.51
Sn  0.5000  0.5000  0.5000  2 Cu 2.51
Hg  0.0000  0.5000  0.5000  2 Sn 3.03
Hg  0.5000  0.0000  0.5000  2 Sn 3.03

Summary:
distance to the lowest polymorph of the same formula	3.3	kJ per mole of atoms
space-group type	No. 123

No. 22
Cs2CuSnHg: relaxed, PBE-GGA.

a b c (Å): 7.0264 7.0264 4.9078
angles (deg): 90.00 90.00 90.00
Closest atoms and distances in Å follow each position.
Atoms (fractional coordinates):
Cs  0.0000  0.5000  0.0000  2 Cu 3.51
Cs  0.5000  0.0000  0.0000  2 Cu 3.51
Cu  0.0000  0.0000  0.0000  2 Sn 2.45
Sn  0.0000  0.0000  0.5000  2 Cu 2.45
Hg  0.5000  0.5000  0.5000  8 Cs 4.29

Summary:
space-group type	No. 123

No. 23
CsCuSnHg2: relaxed, PBE-GGA.

a b c (Å): 5.5194 5.5194 5.1378
angles (deg): 90.00 90.00 90.00
Closest atoms and distances in Å follow each position.
Atoms (fractional coordinates):
Cs  0.0000  0.0000  0.0000  8 Hg 3.77, 4 Sn 3.90
Cu  0.5000  0.5000  0.5000  2 Sn 2.57, 4 Hg 2.76
Sn  0.5000  0.5000  0.0000  2 Cu 2.57
Hg  0.0000  0.5000  0.5000  2 Cu 2.76
Hg  0.5000  0.0000  0.5000  2 Cu 2.76

Summary:
distance to the lowest polymorph of the same formula	0.0	kJ per mole of atoms
space-group type	No. 123

No. 24
CsCuHgTe2: relaxed, PBE-GGA.

a b c (Å): 5.2679 5.2679 6.0628
angles (deg): 90.00 90.00 90.00
Closest atoms and distances in Å follow each position.
Atoms (fractional coordinates):
Cs  0.0000  0.0000  0.0000  4 Hg 3.72, 8 Te 4.02
Cu  0.5000  0.5000  0.5000  4 Te 2.63
Hg  0.5000  0.5000  0.0000  2 Cu 3.03
Te  0.0000  0.5000  0.5000  2 Cu 2.63
Te  0.5000  0.0000  0.5000  2 Cu 2.63

Summary:
distance to the lowest polymorph of the same formula	16.2	kJ per mole of atoms
raw formation energy	-0.251	eV per atom
space-group type	No. 123

No. 25
CsCuHgTe2: relaxed, PBE-GGA.

a b c (Å): 7.7838 7.7838 10.7797
angles (deg): 99.84 99.84 34.59
Closest atoms and distances in Å follow each position.
Atoms (fractional coordinates):
Cs  0.1642  0.1642  0.1803  5 Te 3.79-3.94, 2 Cu 4.02, 2 Hg 4.10
Cs  0.8358  0.8358  0.8197  5 Te 3.79-3.94, 2 Cu 4.02, 2 Hg 4.10
Cu  0.1645  0.1645  0.5796  4 Te 2.66-2.87
Cu  0.8355  0.8355  0.4204  4 Te 2.66-2.87
Hg  0.4719  0.4719  0.3086  3 Te 2.81-2.88
Hg  0.5281  0.5281  0.6914  3 Te 2.81-2.88
Te  0.1223  0.1223  0.8089  1 Cu 2.66, 2 Hg 2.88
Te  0.3514  0.3514  0.5456  3 Cu 2.67-2.87, 1 Hg 2.81
Te  0.6486  0.6486  0.4544  3 Cu 2.67-2.87, 1 Hg 2.81
Te  0.8777  0.8777  0.1911  1 Cu 2.66, 2 Hg 2.88

Summary:
distance to the lowest polymorph of the same formula	0.0	kJ per mole of atoms
raw formation energy	-0.420	eV per atom
space-group type	No. 12

Which size of the total moment belongs to each record? In order, 0.00, 0.00, 0.00, 0.00, 0.00, 0.00, 0.00, 0.00, 0.00, 0.00, 0.00, 0.00, 0.00, 0.00, 0.00, 0.40, 0.00, 0.00, 0.00, 0.00, 0.00, 0.00, 0.00, 0.00, 0.00 μB/cell.
Which VASP energy belongs to each record? In order, -29.8, -23.0, -33.9, -10.4, -6.9, -8.6, -13.8, -7.6, -18.6, -13.2, -13.6, -12.3, -11.9, -16.2, -10.9, -18.7, -9.8, -18.6, -10.5, -10.5, -9.3, -10.1, -9.5, -12.8, -13.6 eV per formula unit.